The following is a PBE with a Hubbard U calculation of a relaxed structure of Rb2VP2O8, from Alexandria via LeMat-Bulk.

```
Rb2VP2O8
1.0
-7.030 1.083 1.083
-1.700 -8.788 -2.242
1.423 -3.530 12.761
P O V Rb
8 32 4 8
Cartesian
-7.879 -8.321 0.872 P
-3.847 -5.354 3.778 P
-2.585 -6.952 9.965 P
-0.965 -5.423 3.260 P
-3.423 -0.248 2.431 P
-7.676 -9.756 7.222 P
-3.184 -1.774 9.108 P
0.333 -7.112 9.774 P
-6.066 -6.218 12.207 O
-4.748 -4.198 3.288 O
-3.837 -6.467 2.689 O
-3.920 -1.655 2.878 O
-2.345 -4.710 3.812 O
-4.455 -9.540 5.853 O
-3.191 -0.192 0.948 O
-5.982 -6.722 9.676 O
0.038 -2.912 9.166 O
-3.381 -6.066 -0.155 O
-5.886 -9.392 10.808 O
-3.921 -8.638 1.075 O
-6.863 0.079 1.835 O
-1.284 -8.078 0.446 O
-1.164 -7.767 9.783 O
0.163 -5.603 9.430 O
-4.459 -2.484 5.612 O
-0.887 -4.528 6.941 O
-2.547 -5.854 8.867 O
-4.811 -2.023 9.019 O
-1.180 -10.147 4.917 O
-6.145 -0.643 4.201 O
-2.700 -3.223 8.895 O
-4.176 -5.913 5.133 O
-4.632 -10.163 8.347 O
-1.290 -5.811 1.790 O
-6.293 -7.970 0.591 O
-7.019 -8.746 8.209 O
-7.067 -3.109 4.338 O
-3.563 -8.061 9.526 O
-0.579 -6.570 4.147 O
-2.716 -6.440 11.370 O
-5.218 -2.434 4.155 V
-2.786 -6.965 1.085 V
-5.445 -8.653 9.408 V
-1.164 -4.419 8.556 V
-4.123 -3.911 12.052 Rb
-1.476 -2.146 5.287 Rb
-6.073 -4.894 0.555 Rb
-6.238 -7.927 4.229 Rb
-2.196 -7.660 6.296 Rb
-1.857 -10.770 9.891 Rb
-2.057 -2.973 0.628 Rb
-5.208 -4.660 7.472 Rb
```

Calculated values
E: -355.92 eV for the cell shown

***

The following is a PBE with a Hubbard U calculation of a relaxed structure of RbVP2O8, from Alexandria via LeMat-Bulk.

```
RbVP2O8
1.0
4.920 0.000 0.000
-2.460 4.261 0.000
0.000 0.000 8.775
O P Rb V
8 2 1 1
Cartesian
1.426 3.127 5.485 O
-0.961 3.932 5.485 O
0.000 2.841 7.566 O
1.034 1.134 3.290 O
2.460 1.420 1.209 O
3.421 0.328 3.290 O
2.925 2.798 3.290 O
-0.465 1.463 5.485 O
0.000 2.841 6.069 P
2.460 1.420 2.706 P
0.000 0.000 0.000 Rb
0.000 0.000 4.387 V
```

Calculated values
E: -84.16 eV for the cell shown

***

The following is a PBE with a Hubbard U calculation of a relaxed structure of RbVP2O8, from Alexandria via LeMat-Bulk.

```
RbVP2O8
1.0
-0.415 1.756 8.553
-4.860 -1.613 0.095
4.026 -13.939 3.058
O P V Rb
32 8 4 4
Cartesian
-0.079 -14.007 4.243 O
1.188 -12.766 6.022 O
0.156 -5.191 8.768 O
-2.172 -6.698 4.367 O
-2.287 -5.747 7.300 O
-0.317 -12.532 9.727 O
-0.932 -1.263 1.979 O
1.037 -8.048 4.406 O
1.610 -10.216 5.541 O
-0.951 -10.103 9.860 O
-2.859 -3.579 6.165 O
-0.043 -0.457 5.272 O
-0.722 -6.233 2.369 O
-2.438 -1.029 5.683 O
2.262 -12.552 8.393 O
-3.511 -1.243 3.313 O
-3.078 -6.967 1.995 O
-1.845 -3.482 8.471 O
-3.989 -3.871 3.631 O
0.275 -10.902 7.807 O
0.595 -10.313 3.234 O
-1.902 -11.153 3.636 O
1.828 -6.828 9.711 O
-0.528 -7.562 9.337 O
-1.524 -2.893 3.899 O
0.923 -7.097 7.339 O
0.652 -2.642 8.070 O
2.739 -9.924 8.075 O
-1.171 0.212 7.463 O
-1.206 -13.339 6.434 O
-1.406 -8.604 2.938 O
-0.298 -3.692 1.845 O
-2.772 -4.357 7.532 P
1.523 -9.438 4.174 P
0.615 -6.692 8.743 P
-1.338 0.026 5.991 P
-0.497 -2.441 2.782 P
-0.752 -11.355 8.924 P
0.089 -13.822 5.715 P
-1.865 -7.104 2.962 P
-0.997 -10.251 2.187 V
-0.252 -3.545 9.519 V
-3.206 -2.454 4.685 V
1.956 -11.341 7.021 V
0.096 -5.139 5.369 Rb
2.302 -12.924 2.924 Rb
-1.345 -8.657 6.337 Rb
-3.551 -0.871 8.782 Rb
```

Calculated values
E: -335.22 eV for the cell shown

***

The following is a PBE with a Hubbard U calculation of a relaxed structure of RbP2WO, from Alexandria via LeMat-Bulk.

```
RbP2WO
1.0
5.308 0.000 0.000
0.000 5.308 0.000
0.000 0.000 4.243
Rb P W O
1 2 1 1
Cartesian
0.000 0.000 0.000 Rb
2.654 0.000 0.000 P
0.000 2.654 0.000 P
2.654 2.654 2.122 W
0.000 0.000 2.122 O
```

Calculated values
E: -14.05 eV for the cell shown

***

The following is a PBE with a Hubbard U calculation of a relaxed structure of RbP4W8O32, from Alexandria via LeMat-Bulk.

```
RbP4W8O32
1.0
-3.544 8.150 -3.612
-0.282 3.571 -8.899
-9.352 -1.576 -4.404
O W Rb P
32 8 1 4
Cartesian
-9.046 5.093 -12.701 O
-10.115 6.597 -14.458 O
-9.229 5.914 -8.141 O
-5.498 6.404 -6.264 O
-4.517 6.943 -8.799 O
-9.661 1.801 -10.324 O
-3.949 4.230 -8.774 O
-8.661 3.201 -8.116 O
-7.680 3.741 -10.652 O
-3.517 8.343 -6.592 O
-10.615 7.296 -10.157 O
-7.706 4.764 -6.047 O
-1.894 6.064 -9.223 O
-8.034 6.445 -10.538 O
-4.817 0.997 -6.652 O
-3.063 3.547 -2.458 O
-1.613 1.512 -4.808 O
-11.565 8.633 -12.107 O
-4.132 5.051 -4.214 O
-2.563 2.848 -6.758 O
-6.995 9.626 -12.652 O
-6.065 2.461 -8.706 O
-8.909 0.835 -6.219 O
-6.448 3.287 -4.008 O
-7.113 7.684 -8.209 O
-6.183 0.518 -4.263 O
-5.144 3.699 -6.377 O
-11.284 4.080 -7.692 O
-2.633 0.892 -2.397 O
-4.269 9.309 -10.696 O
-5.472 5.380 -10.869 O
-10.545 9.252 -14.518 O
-9.386 4.544 -6.905 W
-5.426 7.893 -7.362 W
-7.145 5.313 -11.820 W
-4.405 2.546 -7.734 W
-6.033 4.832 -5.095 W
-8.773 7.598 -9.182 W
-7.752 2.251 -9.553 W
-3.792 5.600 -10.010 W
-1.913 5.860 -6.255 Rb
-11.854 7.894 -10.810 P
-3.258 4.965 -2.971 P
-9.920 5.179 -13.945 P
-1.324 2.251 -6.105 P
```

Calculated values
E: -332.57 eV for the cell shown

***

The following is a PBE with a Hubbard U calculation of a relaxed structure of RbP2WO8, from Alexandria via LeMat-Bulk.

```
RbP2WO8
1.0
5.206 0.008 0.000
-0.155 11.949 0.000
0.000 0.000 12.211
O Rb W P
32 4 4 8
Cartesian
4.788 4.307 3.612 O
0.144 4.291 6.512 O
1.443 6.075 4.739 O
2.107 10.277 2.493 O
2.332 4.069 3.064 O
2.719 7.887 9.147 O
4.009 2.401 2.206 O
1.042 9.556 10.005 O
3.608 5.881 7.472 O
0.263 7.650 8.599 O
1.329 8.371 3.899 O
1.121 7.143 10.953 O
2.670 10.269 11.805 O
3.930 4.813 1.258 O
4.809 2.027 12.035 O
3.980 9.773 7.392 O
2.128 7.997 6.282 O
2.923 3.959 5.929 O
0.193 1.909 9.170 O
2.944 1.679 9.718 O
2.382 1.687 0.406 O
4.858 10.048 3.041 O
1.249 10.784 4.847 O
1.455 3.795 10.925 O
4.907 7.665 5.699 O
1.071 2.184 4.819 O
0.927 11.852 10.844 O
3.723 3.585 8.312 O
0.242 9.930 0.176 O
4.124 0.105 1.367 O
3.802 1.172 7.364 O
3.597 8.162 1.286 O
3.870 0.479 4.624 Rb
1.189 6.450 1.482 Rb
1.181 11.477 7.587 Rb
3.862 5.507 10.729 Rb
3.747 9.913 1.320 W
1.222 3.935 4.785 W
1.304 2.043 10.891 W
3.830 8.021 7.426 W
1.153 7.482 5.234 P
3.773 3.999 2.499 P
3.959 1.986 8.605 P
1.218 10.445 11.340 P
1.093 9.970 3.606 P
3.834 1.511 0.871 P
3.898 4.475 6.977 P
1.278 7.957 9.712 P
```

Calculated values
E: -340.30 eV for the cell shown

***

Q: What is the formula in the sixth record?
A: RbP2WO8